Below is a geometry-optimized BaGa3Tc structure, with properties calculated at the PBE level.

The total magnetic moment is 0.00 μB/f.u. The calculated volume comes out at 22.60 A^3/atom. As for the energy relative to the elements: -185 meV per atom. As for the crystal system: orthorhombic.

The structure belongs to space group Pnma (No. 62); the cell edges are 6.224, 13.805 and 5.261 Å and the angles 90.00°, 90.00° and 90.00°. The asymmetric unit holds Ba at (0.000, 0.000, 0.000), Ga at (0.011, 0.141, 0.483), Ga at (0.143, 0.750, 0.128) and Tc at (0.203, 0.250, 0.152).